The following is a DFT calculation (PBE-GGA) of crystalline AlZn2 at its relaxed geometry.

Output
Final energy = -12.16 eV/cell

a b c (Å): 4.8358 4.8358 4.6060
angles (deg): 90.00 90.00 120.00
Space group P-62m (No. 189)
Unique sites:
Al: 0.3333 0.6667 0.0000 (multiplicity 2)
Zn: 0.0000 0.0000 0.0000 (multiplicity 1)
Zn: 0.0000 0.3310 0.5000 (multiplicity 3)